Version w
Material: PBrOF2
Method: DFT, PBE
State: optimized geometry

Geometry as CIF:
```
data_PBrOF2
_chemical_formula_sum 'P1 Br1 O1 F2'
_space_group_name_H-M_alt 'P 1'
_space_group_IT_number 1
_cell_length_a 3.8720
_cell_length_b 3.8720
_cell_length_c 4.5221
_cell_angle_alpha 90.00
_cell_angle_beta 90.00
_cell_angle_gamma 90.00
loop_
_space_group_symop_operation_xyz
'x,y,z'
loop_
_atom_site_label
_atom_site_fract_x
_atom_site_fract_y
_atom_site_fract_z
P1 0.0000 0.0000 0.0000
O1 0.0000 0.0000 0.5000
Br1 0.5000 0.5000 0.5000
F1 0.0000 0.5000 0.0000
F2 0.5000 0.0000 0.0000
```

Values from the calculation:
**Density**: 4.0 Mg/m³

Version x
Material: PBrOF2
Method: DFT, PBE
State: optimized geometry

Geometry as CIF:
```
data_PBrOF2
_chemical_formula_sum 'P1 Br1 O1 F2'
_space_group_name_H-M_alt 'P 1'
_space_group_IT_number 1
_cell_length_a 4.5215
_cell_length_b 4.5215
_cell_length_c 4.0409
_cell_angle_alpha 90.00
_cell_angle_beta 90.00
_cell_angle_gamma 90.00
loop_
_space_group_symop_operation_xyz
'x,y,z'
loop_
_atom_site_label
_atom_site_fract_x
_atom_site_fract_y
_atom_site_fract_z
P1 0.5000 0.5000 0.5000
O1 0.0000 0.0000 0.5000
Br1 0.0000 0.0000 0.0000
F1 0.0000 0.5000 0.0000
F2 0.5000 0.0000 0.0000
```

Values from the calculation:
**Density**: 3.3 Mg/m³

The relative energies come out as version w 0.0; version x 98.4, with values in kJ/mol of atoms.

Version w
Material: Sr10P6BrO24F
Method: DFT, PBE
State: optimized geometry

Geometry as CIF:
```
data_Sr10P6BrO24F
_chemical_formula_sum 'Sr10 P6 Br1 O24 F1'
_space_group_name_H-M_alt 'P 1'
_space_group_IT_number 1
_cell_length_a 9.9697
_cell_length_b 9.9697
_cell_length_c 7.3268
_cell_angle_alpha 90.00
_cell_angle_beta 90.00
_cell_angle_gamma 120.00
loop_
_space_group_symop_operation_xyz
'x,y,z'
loop_
_atom_site_label
_atom_site_fract_x
_atom_site_fract_y
_atom_site_fract_z
Sr1 0.6667 0.3333 0.5017
Sr2 0.3333 0.6667 0.9918
Sr3 0.3333 0.6667 0.4859
Sr4 0.6667 0.3333 0.0059
Sr5 0.7386 0.7250 0.7425
Sr6 0.2750 0.0135 0.7425
Sr7 0.9865 0.2614 0.7425
Sr8 0.2385 0.2445 0.2523
Sr9 0.7555 0.9940 0.2523
Sr10 0.0060 0.7615 0.2523
P1 0.0330 0.6350 0.7514
P2 0.3650 0.3979 0.7514
P3 0.6021 0.9670 0.7514
P4 0.9674 0.3745 0.2489
P5 0.6255 0.5929 0.2489
P6 0.4071 0.0326 0.2489
Br1 0.0000 0.0000 0.9289
O1 0.0735 0.7521 0.5917
O2 0.2479 0.3214 0.5917
O3 0.6786 0.9265 0.5917
O4 0.9112 0.2729 0.0736
O5 0.7271 0.6383 0.0736
O6 0.3617 0.0888 0.0736
O7 0.9140 0.2643 0.4173
O8 0.7357 0.6497 0.4173
O9 0.3503 0.0860 0.4173
O10 0.0941 0.7265 0.9325
O11 0.2735 0.3676 0.9325
O12 0.6324 0.9059 0.9325
O13 0.1220 0.5441 0.7240
O14 0.4559 0.5779 0.7240
O15 0.4221 0.8780 0.7240
O16 0.8828 0.4706 0.2583
O17 0.5294 0.4123 0.2583
O18 0.5877 0.1172 0.2583
O19 0.8546 0.5188 0.7550
O20 0.4812 0.3358 0.7550
O21 0.6642 0.1454 0.7550
O22 0.1465 0.4808 0.2487
O23 0.5192 0.6657 0.2487
O24 0.3343 0.8535 0.2487
F1 0.0000 0.0000 0.3473
```

Values from the calculation:
**Density**: 4.1 Mg/m³

Version x
Material: Sr10P6BrO24F
Method: DFT, PBE
State: optimized geometry

Geometry as CIF:
```
data_Sr10P6BrO24F
_chemical_formula_sum 'Sr20 P12 Br2 O48 F2'
_space_group_name_H-M_alt 'P 1'
_space_group_IT_number 1
_cell_length_a 7.3148
_cell_length_b 9.9743
_cell_length_c 17.2709
_cell_angle_alpha 90.00
_cell_angle_beta 90.00
_cell_angle_gamma 90.00
loop_
_space_group_symop_operation_xyz
'x,y,z'
loop_
_atom_site_label
_atom_site_fract_x
_atom_site_fract_y
_atom_site_fract_z
Sr1 0.7500 0.7403 0.0039
Sr2 0.7500 0.6151 0.3769
Sr3 0.9995 0.4987 0.1685
Sr4 0.5005 0.4987 0.1685
Sr5 0.2500 0.3697 0.3814
Sr6 0.7500 0.2517 0.5046
Sr7 0.7500 0.1357 0.1319
Sr8 0.7500 0.1264 0.8646
Sr9 0.4998 0.9983 0.3355
Sr10 0.9998 0.0017 0.6645
Sr11 0.5002 0.0017 0.6645
Sr12 0.0002 0.9983 0.3355
Sr13 0.2500 0.8736 0.1354
Sr14 0.2500 0.8643 0.8681
Sr15 0.2500 0.7483 0.4954
Sr16 0.7500 0.6303 0.6186
Sr17 0.4995 0.5013 0.8315
Sr18 0.0005 0.5013 0.8315
Sr19 0.2500 0.3849 0.6231
Sr20 0.2500 0.2597 0.9961
P1 0.2500 0.6112 0.0188
P2 0.2500 0.6667 0.3029
P3 0.7500 0.2854 0.3181
P4 0.2500 0.2215 0.1882
P5 0.2500 0.1159 0.5148
P6 0.2500 0.1700 0.7938
P7 0.7500 0.8300 0.2062
P8 0.7500 0.8841 0.4852
P9 0.7500 0.7785 0.8118
P10 0.2500 0.7146 0.6819
P11 0.7500 0.3333 0.6971
P12 0.7500 0.3888 0.9812
Br1 0.0000 0.0000 0.0000
Br2 0.5000 0.0000 0.0000
O1 0.4228 0.6880 0.0468
O2 0.0772 0.6880 0.0468
O3 0.7500 0.6880 0.1688
O4 0.2500 0.6659 0.2121
O5 0.4221 0.5896 0.3311
O6 0.0779 0.5896 0.3311
O7 0.2500 0.4734 0.0621
O8 0.7500 0.4091 0.0706
O9 0.7500 0.4038 0.2591
O10 0.2500 0.3532 0.2371
O11 0.9217 0.2896 0.3710
O12 0.5783 0.2896 0.3710
O13 0.4230 0.2259 0.1356
O14 0.0770 0.2259 0.1356
O15 0.0781 0.1968 0.5401
O16 0.4219 0.1968 0.5401
O17 0.7500 0.1860 0.6668
O18 0.7500 0.1485 0.2737
O19 0.2500 0.1775 0.7036
O20 0.2500 0.0943 0.2405
O21 0.0775 0.0883 0.8180
O22 0.4225 0.0883 0.8180
O23 0.2500 0.0930 0.4255
O24 0.2500 0.9788 0.5586
O25 0.7500 0.0212 0.4414
O26 0.7500 0.9070 0.5745
O27 0.9225 0.9117 0.1820
O28 0.5775 0.9117 0.1820
O29 0.7500 0.9057 0.7595
O30 0.7500 0.8225 0.2964
O31 0.2500 0.8515 0.7263
O32 0.2500 0.8140 0.3332
O33 0.9219 0.8032 0.4599
O34 0.5781 0.8032 0.4599
O35 0.9230 0.7741 0.8644
O36 0.5770 0.7741 0.8644
O37 0.0783 0.7104 0.6290
O38 0.4217 0.7104 0.6290
O39 0.7500 0.6468 0.7629
O40 0.2500 0.5962 0.7409
O41 0.2500 0.5909 0.9294
O42 0.7500 0.5266 0.9379
O43 0.9221 0.4104 0.6689
O44 0.5779 0.4104 0.6689
O45 0.7500 0.3341 0.7879
O46 0.2500 0.3120 0.8312
O47 0.5772 0.3120 0.9532
O48 0.9228 0.3120 0.9532
F1 0.7500 0.4974 0.5002
F2 0.2500 0.5026 0.4998
```

Values from the calculation:
**Density**: 4.1 Mg/m³

The relative energies come out as version w 0.7; version x 0.0, with values in kJ/mol of atoms.

Version w
Material: PbBrOF2
Method: DFT, PBE
State: optimized geometry

Geometry as CIF:
```
data_PbBrOF2
_chemical_formula_sum 'Pb1 Br1 O1 F2'
_space_group_name_H-M_alt 'P 1'
_space_group_IT_number 1
_cell_length_a 4.6546
_cell_length_b 4.6546
_cell_length_c 4.1194
_cell_angle_alpha 90.00
_cell_angle_beta 90.00
_cell_angle_gamma 90.00
loop_
_space_group_symop_operation_xyz
'x,y,z'
loop_
_atom_site_label
_atom_site_fract_x
_atom_site_fract_y
_atom_site_fract_z
Pb1 0.5000 0.5000 0.5000
O1 0.0000 0.0000 0.5000
Br1 0.0000 0.0000 0.0000
F1 0.0000 0.5000 0.0000
F2 0.5000 0.0000 0.0000
```

Values from the calculation:
**Density**: 6.3 Mg/m³

Version x
Material: PbBrOF2
Method: DFT, PBE
State: optimized geometry

Geometry as CIF:
```
data_PbBrOF2
_chemical_formula_sum 'Pb1 Br1 O1 F2'
_space_group_name_H-M_alt 'P 1'
_space_group_IT_number 1
_cell_length_a 4.5233
_cell_length_b 4.5233
_cell_length_c 4.3810
_cell_angle_alpha 90.00
_cell_angle_beta 90.00
_cell_angle_gamma 90.00
loop_
_space_group_symop_operation_xyz
'x,y,z'
loop_
_atom_site_label
_atom_site_fract_x
_atom_site_fract_y
_atom_site_fract_z
Pb1 0.0000 0.0000 0.0000
O1 0.0000 0.0000 0.5000
Br1 0.5000 0.5000 0.5000
F1 0.0000 0.5000 0.0000
F2 0.5000 0.0000 0.0000
```

Values from the calculation:
**Density**: 6.3 Mg/m³

The relative energies come out as version w 32.6; version x 0.0, with values in kJ/mol of atoms.

Version w
Material: RbBrOF2
Method: DFT, PBE
State: optimized geometry

Geometry as CIF:
```
data_RbBrOF2
_chemical_formula_sum 'Rb1 Br1 O1 F2'
_space_group_name_H-M_alt 'P 1'
_space_group_IT_number 1
_cell_length_a 4.8787
_cell_length_b 4.8787
_cell_length_c 3.7912
_cell_angle_alpha 90.00
_cell_angle_beta 90.00
_cell_angle_gamma 90.00
loop_
_space_group_symop_operation_xyz
'x,y,z'
loop_
_atom_site_label
_atom_site_fract_x
_atom_site_fract_y
_atom_site_fract_z
O1 0.0000 0.0000 0.5000
Br1 0.0000 0.0000 0.0000
Rb1 0.5000 0.5000 0.5000
F1 0.0000 0.5000 0.0000
F2 0.5000 0.0000 0.0000
```

Values from the calculation:
**Density**: 4.0 Mg/m³

Version x
Material: RbBrOF2
Method: DFT, PBE
State: optimized geometry

Geometry as CIF:
```
data_RbBrOF2
_chemical_formula_sum 'Rb1 Br1 O1 F2'
_space_group_name_H-M_alt 'P 1'
_space_group_IT_number 1
_cell_length_a 4.9263
_cell_length_b 4.9263
_cell_length_c 5.4936
_cell_angle_alpha 90.00
_cell_angle_beta 90.00
_cell_angle_gamma 90.00
loop_
_space_group_symop_operation_xyz
'x,y,z'
loop_
_atom_site_label
_atom_site_fract_x
_atom_site_fract_y
_atom_site_fract_z
O1 0.0000 0.0000 0.5000
Br1 0.5000 0.5000 0.5000
Rb1 0.0000 0.0000 0.0000
F1 0.0000 0.5000 0.0000
F2 0.5000 0.0000 0.0000
```

Values from the calculation:
**Density**: 2.7 Mg/m³

The relative energies come out as version w 0.0; version x 90.6, with values in kJ/mol of atoms.

Version w
Material: SBrOF2
Method: DFT, PBE
State: optimized geometry

Geometry as CIF:
```
data_SBrOF2
_chemical_formula_sum 'S1 Br1 O1 F2'
_space_group_name_H-M_alt 'P 1'
_space_group_IT_number 1
_cell_length_a 4.5728
_cell_length_b 4.5728
_cell_length_c 3.4173
_cell_angle_alpha 90.00
_cell_angle_beta 90.00
_cell_angle_gamma 90.00
loop_
_space_group_symop_operation_xyz
'x,y,z'
loop_
_atom_site_label
_atom_site_fract_x
_atom_site_fract_y
_atom_site_fract_z
S1 0.0000 0.0000 0.0000
O1 0.0000 0.0000 0.5000
Br1 0.5000 0.5000 0.5000
F1 0.0000 0.5000 0.0000
F2 0.5000 0.0000 0.0000
```

Values from the calculation:
**Density**: 3.9 Mg/m³

Version x
Material: SBrOF2
Method: DFT, PBE
State: optimized geometry

Geometry as CIF:
```
data_SBrOF2
_chemical_formula_sum 'S1 Br1 O1 F2'
_space_group_name_H-M_alt 'P 1'
_space_group_IT_number 1
_cell_length_a 4.7275
_cell_length_b 4.7275
_cell_length_c 3.7259
_cell_angle_alpha 90.00
_cell_angle_beta 90.00
_cell_angle_gamma 90.00
loop_
_space_group_symop_operation_xyz
'x,y,z'
loop_
_atom_site_label
_atom_site_fract_x
_atom_site_fract_y
_atom_site_fract_z
S1 0.5000 0.5000 0.5000
O1 0.0000 0.0000 0.5000
Br1 0.0000 0.0000 0.0000
F1 0.0000 0.5000 0.0000
F2 0.5000 0.0000 0.0000
```

Values from the calculation:
**Density**: 3.3 Mg/m³

The relative energies come out as version w 0.0; version x 49.2, with values in kJ/mol of atoms.

Version w
Material: ScBrOF2
Method: DFT, PBE
State: optimized geometry

Geometry as CIF:
```
data_ScBrOF2
_chemical_formula_sum 'Sc1 Br1 O1 F2'
_space_group_name_H-M_alt 'P 1'
_space_group_IT_number 1
_cell_length_a 4.0096
_cell_length_b 4.0096
_cell_length_c 4.5494
_cell_angle_alpha 90.00
_cell_angle_beta 90.00
_cell_angle_gamma 90.00
loop_
_space_group_symop_operation_xyz
'x,y,z'
loop_
_atom_site_label
_atom_site_fract_x
_atom_site_fract_y
_atom_site_fract_z
Sc1 0.0000 0.0000 0.0000
O1 0.0000 0.0000 0.5000
Br1 0.5000 0.5000 0.5000
F1 0.0000 0.5000 0.0000
F2 0.5000 0.0000 0.0000
```

Values from the calculation:
**Density**: 4.1 Mg/m³

Version x
Material: ScBrOF2
Method: DFT, PBE
State: optimized geometry

Geometry as CIF:
```
data_ScBrOF2
_chemical_formula_sum 'Sc1 Br1 O1 F2'
_space_group_name_H-M_alt 'P 1'
_space_group_IT_number 1
_cell_length_a 4.8845
_cell_length_b 4.8845
_cell_length_c 3.7448
_cell_angle_alpha 90.00
_cell_angle_beta 90.00
_cell_angle_gamma 90.00
loop_
_space_group_symop_operation_xyz
'x,y,z'
loop_
_atom_site_label
_atom_site_fract_x
_atom_site_fract_y
_atom_site_fract_z
Sc1 0.5000 0.5000 0.5000
O1 0.0000 0.0000 0.5000
Br1 0.0000 0.0000 0.0000
F1 0.0000 0.5000 0.0000
F2 0.5000 0.0000 0.0000
```

Values from the calculation:
**Density**: 3.3 Mg/m³

The relative energies come out as version w 0.0; version x 160.7, with values in kJ/mol of atoms.